1.
A plane-wave DFT calculation with GGA-PBE was carried out for crystalline ScSbHI2 at its relaxed geometry.

Computed properties:
Calculated volume in Å³ per atom: 24.043
Total magnetization in Bohr magnetons per cell: 0.2
Space-group type: P4/mmm (123)
Crystal system: tetragonal
D(E_F) in states/eV/cell: 4.476
Final energy in eV/atom: -3.234

abc: 5.531 5.531 3.929
angles: 90.00 90.00 90.00
Element x y z (fractional)
Sc (0.000, 0.000, 0.000)
Sb (0.500, 0.500, 0.000)
H (0.500, 0.500, 0.500)
I (0.000, 0.500, 0.500)
I (0.500, 0.000, 0.500)

=====

2.
A plane-wave DFT calculation with GGA-PBE was carried out for crystalline ScSb2HI at its relaxed geometry.

Computed properties:
Calculated volume in Å³ per atom: 35.575
Total magnetization in Bohr magnetons per cell: 0.9
Space-group type: P4/mmm (123)
Crystal system: tetragonal
D(E_F) in states/eV/cell: 4.110
Final energy in eV/atom: -3.457

abc: 5.548 5.548 5.780
angles: 90.00 90.00 90.00
Element x y z (fractional)
Sc (0.000, 0.000, 0.000)
Sb (0.000, 0.500, 0.000)
Sb (0.500, 0.000, 0.000)
H (0.500, 0.500, 0.500)
I (0.000, 0.000, 0.500)

=====

3.
A plane-wave DFT calculation with GGA-PBE was carried out for crystalline ScSb2HI at its relaxed geometry.

Computed properties:
Calculated volume in Å³ per atom: 23.008
Total magnetization in Bohr magnetons per cell: 0.0
Space-group type: P4/mmm (123)
Crystal system: tetragonal
D(E_F) in states/eV/cell: 2.478
Final energy in eV/atom: -3.806

abc: 4.432 4.432 5.856
angles: 90.00 90.00 90.00
Element x y z (fractional)
Sc (0.000, 0.000, 0.000)
Sb (0.000, 0.500, 0.500)
Sb (0.500, 0.000, 0.500)
H (0.500, 0.500, 0.500)
I (0.500, 0.500, 0.000)

=====

> Which value of D(E_F) does entry 2 give?

4.110 states/eV/cell

=====

Please write out number 3 again, unchanged.
A plane-wave DFT calculation with GGA-PBE was carried out for crystalline ScSb2HI at its relaxed geometry.

Computed properties:
Calculated volume in Å³ per atom: 23.008
Total magnetization in Bohr magnetons per cell: 0.0
Space-group type: P4/mmm (123)
Crystal system: tetragonal
D(E_F) in states/eV/cell: 2.478
Final energy in eV/atom: -3.806

abc: 4.432 4.432 5.856
angles: 90.00 90.00 90.00
Element x y z (fractional)
Sc (0.000, 0.000, 0.000)
Sb (0.000, 0.500, 0.500)
Sb (0.500, 0.000, 0.500)
H (0.500, 0.500, 0.500)
I (0.500, 0.500, 0.000)